The following is a PBE-GGA calculation of a relaxed YMg6B crystal, from Alexandria via LeMat-Bulk.

Results
ΔE to the lowest computed polymorph, eV per atom: 0.000
Size of the total moment, μB per atom: 0.000
VASP energy, eV/atom: -2.64
Formation enthalpy at 0 K, eV per atom: 0.196
Volume, Å³/atom: 22.54
Space-group type: No. 38

a = 9.8364 Å, b = 9.8364 Å, c = 3.2001 Å
α = 90.00°, β = 90.00°, γ = 144.37°
Last column: nearest neighbours and their distance in Å.
Sites, in units of the cell vectors:
Y1 0.2410 0.7590 0.0000  2 B 2.54
Mg1 0.6517 0.8254 0.0000  2 B 2.49
Mg2 0.1746 0.3483 0.0000  2 B 2.49
Mg3 0.6669 0.3331 0.0000  8 Mg 2.98-3.20, 2 Y 3.31
Mg4 0.8171 0.6985 0.5000  8 Mg 2.92-3.20
Mg5 0.3015 0.1829 0.5000  8 Mg 2.92-3.20
Mg6 0.8011 0.1989 0.5000  8 Mg 2.98-3.20, 2 B 3.13
B1 0.3461 0.6539 0.5000  4 Mg 2.49, 2 Y 2.54